A plane-wave DFT calculation with PBE-GGA was carried out for LiCdGeRh after structural relaxation.

Cell and atoms, written as extended XYZ:
```
4
Lattice="-3.527 -1.788 -2.072 -0.296 -4.428 -0.485 -3.029 -2.303 2.334" Properties=species:S:1:pos:R:3 pbc="T T T"
Rh 0.000 0.000 0.000
Li -3.426 -4.260 -0.111
Cd -5.140 -6.389 -0.167
Ge -1.713 -2.130 -0.056
```

- Symmetry: No. 216
- ρ: 7.783 Mg/m³
- DOS at the Fermi energy: 2.18 states/eV per cell
- Formation enthalpy at 0 K: -0.30 eV/atom

***

A plane-wave DFT calculation with PBE-GGA was carried out for In3IrBr after structural relaxation.

Cell and atoms, written as extended XYZ:
```
10
Lattice="-5.866 -0.967 -3.371 2.833 -6.131 1.049 -2.996 -0.469 5.349" Properties=species:S:1:pos:R:3 pbc="T T T"
In -1.498 -0.235 2.675
In -3.473 -1.406 -0.302
In 0.000 0.000 0.000
In -1.504 -3.699 4.134
In -2.556 -6.161 3.329
In -4.526 -3.868 -1.107
Ir -6.486 -2.285 1.468
Ir 0.457 -5.282 1.559
Br -1.601 -4.061 0.514
Br -4.429 -3.506 2.513
```

- Symmetry: No. 63
- E_form (uncorrected): -67 meV/atom
- Distance to the lowest polymorph of the same formula: 310.5 meV per atom
- ρ: 7.485 Mg/m³
- DOS at the Fermi energy: 3.01 states/eV per cell

***

A plane-wave DFT calculation with PBE-GGA was carried out for PuNi2Pt3 after structural relaxation.

Cell and atoms, written as extended XYZ:
```
12
Lattice="-0.755 1.886 4.761 1.780 -5.387 2.416 5.933 1.658 0.284" Properties=species:S:1:pos:R:3 pbc="T T T"
Pu 4.319 -0.288 2.206
Pu 2.639 -1.555 5.255
Ni 5.820 -2.814 2.037
Ni 1.892 -0.915 0.662
Ni 5.443 -1.871 4.417
Ni 1.515 0.028 3.043
Pt 5.514 0.608 4.854
Pt 1.296 -3.834 5.944
Pt 3.935 -3.655 3.478
Pt 3.023 1.812 3.982
Pt 5.662 1.991 1.516
Pt 1.443 -2.451 2.606
```

- Symmetry: No. 63
- ρ: 16.004 Mg/m³
- DOS at the Fermi energy: 27.69 states/eV per cell
- Formation enthalpy at 0 K: -0.30 eV/atom

***

A plane-wave DFT calculation with PBE-GGA was carried out for Y2MnAl after structural relaxation.

Cell and atoms, written as extended XYZ:
```
4
Lattice="-3.779 2.583 0.118 -1.096 -1.738 2.965 2.203 3.005 4.775" Properties=species:S:1:pos:R:3 pbc="T T T"
Y -1.484 1.777 2.417
Y 0.982 1.102 7.320
Mn -0.852 2.571 5.309
Al 0.343 0.301 4.421
```

- Symmetry: No. 38
- ρ: 4.517 Mg/m³
- DOS at the Fermi energy: 4.32 states/eV per cell
- Formation enthalpy at 0 K: -0.13 eV/atom